1.
## Nd2Sm5Tm12 (PBE)

Data for a relaxed structure of Nd2Sm5Tm12.

abc: 6.2305 12.0782 17.3385
angles: 151.77 101.74 80.64
Last column: nearest neighbours and their distance in Å.
Fractional coordinates of all 19 atoms:
Nd (0.2614, 0.9318, 0.9997)  7 Tm 3.29-3.67, 2 Nd 3.40-3.62, 2 Sm 3.41-3.61
Sm (0.6422, 0.3315, 0.3407)  7 Tm 3.35-3.70, 2 Nd 3.41-3.61, 1 Sm 3.50
Tm (0.6877, 0.9090, 0.2400)  7 Tm 3.41-3.62, 5 Sm 3.57-3.70
Tm (0.2256, 0.2585, 0.0423)  3 Nd 3.29-3.67, 2 Sm 3.31-3.53, 6 Tm 3.35-3.68
Tm (0.7744, 0.7415, 0.9577)  3 Nd 3.29-3.67, 2 Sm 3.31-3.53, 6 Tm 3.35-3.68
Tm (0.5429, 0.7485, 0.4242)  6 Tm 3.45-3.67, 5 Sm 3.55-3.81
Sm (0.0000, 0.0000, 0.5000)  2 Sm 3.43, 10 Tm 3.57-3.82
Tm (0.4571, 0.2515, 0.5758)  6 Tm 3.45-3.67, 5 Sm 3.55-3.81
Sm (0.7811, 0.3138, 0.8247)  9 Tm 3.31-3.66, 2 Sm 3.43-3.70
Tm (0.7237, 0.4607, 0.0988)  1 Nd 3.32, 6 Tm 3.35-3.68, 4 Sm 3.39-3.66
Sm (0.3578, 0.6685, 0.6593)  7 Tm 3.35-3.70, 2 Nd 3.41-3.61, 1 Sm 3.50
Tm (0.2763, 0.5393, 0.9012)  1 Nd 3.32, 6 Tm 3.35-3.68, 4 Sm 3.39-3.66
Tm (0.0914, 0.5341, 0.3739)  6 Tm 3.45-3.84, 2 Nd 3.53-3.64, 4 Sm 3.64-3.82
Sm (0.2189, 0.6862, 0.1753)  9 Tm 3.31-3.66, 2 Sm 3.43-3.70
Nd (0.7386, 0.0682, 0.0003)  7 Tm 3.29-3.67, 2 Nd 3.40-3.62, 2 Sm 3.41-3.61
Tm (0.1638, 0.1140, 0.2920)  3 Sm 3.35-3.55, 6 Tm 3.41-3.64, 1 Nd 3.47
Tm (0.9086, 0.4659, 0.6261)  6 Tm 3.45-3.84, 2 Nd 3.53-3.64, 4 Sm 3.64-3.82
Tm (0.3123, 0.0910, 0.7600)  7 Tm 3.41-3.62, 5 Sm 3.57-3.70
Tm (0.8362, 0.8860, 0.7080)  3 Sm 3.35-3.55, 6 Tm 3.41-3.64, 1 Nd 3.47

SG: P-1
Density of states at the Fermi level: 1.358 states/eV/atom
Energy of formation: 0.065 eV per atom
Magnetic moment: 0.00 μB per cell
Energy above the lowest structure with this stoichiometry: 0.0 kJ per mole of atoms

***

2.
## Nd8Sm3Tm (PBE)

Data for a relaxed structure of Nd8Sm3Tm.

abc: 8.5355 8.5354 8.5355
angles: 94.05 117.69 117.69
Last column: nearest neighbours and their distance in Å.
Fractional coordinates of all 12 atoms:
Nd (0.7511, 0.1239, 0.1239)  3 Nd 3.11-3.34, 1 Tm 3.28, 1 Sm 3.32
Nd (0.0000, 0.2536, 0.7586)  1 Tm 3.09, 1 Sm 3.16, 2 Nd 3.27-3.34
Sm (0.5000, 0.2500, 0.7500)  4 Nd 3.49
Nd (0.0000, 0.7586, 0.2536)  1 Tm 3.09, 1 Sm 3.16, 2 Nd 3.27-3.34
Sm (0.5000, 0.7500, 0.2500)  4 Nd 3.49
Nd (0.5051, 0.7464, 0.7464)  1 Tm 3.09, 1 Sm 3.16, 2 Nd 3.27-3.34
Sm (0.0000, 0.5000, 0.5000)  8 Nd 3.16-3.32
Nd (0.4949, 0.2414, 0.2414)  1 Tm 3.09, 1 Sm 3.16, 2 Nd 3.27-3.34
Nd (0.2489, 0.3728, 0.3728)  3 Nd 3.11-3.34, 1 Tm 3.28, 1 Sm 3.32
Nd (0.0000, 0.8761, 0.6272)  3 Nd 3.11-3.34, 1 Tm 3.28, 1 Sm 3.32
Nd (0.0000, 0.6272, 0.8761)  3 Nd 3.11-3.34, 1 Tm 3.28, 1 Sm 3.32
Tm (0.0000, 0.0000, 0.0000)  8 Nd 3.09-3.28

SG: I-42m
Density of states at the Fermi level: 1.580 states/eV/atom
Energy of formation: 0.560 eV per atom
Magnetic moment: 0.00 μB per cell